Record 1
PrErTi | PBE | relaxed

Structure (extended XYZ):
```
6
Lattice="3.5802 0.0000 0.0000 0.0000 3.5802 0.0000 0.0000 0.0000 13.0656" Properties=species:S:1:pos:R:3 pbc="T T T"
Er 1.7901 0.0000 10.5699
Ti 1.7901 0.0000 0.5517
Ti 0.0000 1.7901 12.5139
Pr 1.7901 0.0000 5.1955
Er 0.0000 1.7901 2.4957
Pr 0.0000 1.7901 7.8701
```

**DFT formation energy**: 0.085 eV/atom
**DOS at the Fermi energy**: 10.04 states/eV/cell

=====

Record 2
Pr7Er12Tl | PBE | relaxed

Structure (extended XYZ):
```
20
Lattice="9.5008 2.7043 -0.4843 -0.8765 7.5142 -1.3441 2.0686 1.7198 8.7119" Properties=species:S:1:pos:R:3 pbc="T T T"
Pr 9.3778 4.3543 4.9214
Pr 2.6819 6.4583 5.4155
Er 5.8427 9.9103 4.4105
Er 3.8968 5.3466 0.7161
Er 1.8700 3.6959 2.9569
Pr 4.5703 4.4597 8.0344
Er 10.4224 6.8860 6.7074
Pr 1.3151 7.5840 1.9621
Er 6.7961 6.5917 6.1674
Er 6.1987 3.0326 -0.3775
Er 8.8229 8.2424 3.9266
Er 0.2705 5.0523 0.1761
Pr 6.1226 7.4786 -1.1508
Er 4.4943 8.9057 7.2610
Er 3.3728 2.3760 5.6852
Er 4.8502 2.0280 2.4731
Er 7.3201 9.5623 1.1983
Pr 5.3465 5.9692 3.4418
Pr 8.0110 5.4800 1.4680
Tl 0.0000 0.0000 0.0000
```

**DFT formation energy**: 0.150 eV/atom
**DOS at the Fermi energy**: 28.39 states/eV/cell

=====

Record 3
Pr4ErTl | PBE | relaxed

Structure (extended XYZ):
```
6
Lattice="3.7137 0.0000 0.0000 0.0000 3.7137 0.0000 0.0000 0.0000 14.5791" Properties=species:S:1:pos:R:3 pbc="T T T"
Pr 0.0000 0.0000 5.1124
Er 0.0000 0.0000 0.0000
Pr 0.0000 0.0000 9.4667
Pr 1.8568 1.8568 2.4891
Tl 1.8568 1.8568 7.2895
Pr 1.8568 1.8568 12.0900
```

**DFT formation energy**: -0.101 eV/atom
**DOS at the Fermi energy**: 7.84 states/eV/cell
**Relative energy among the computed polymorphs**: 0.0 meV/atom

=====

Record 4
Pr9Er2Tl | PBE | relaxed

Structure (extended XYZ):
```
12
Lattice="5.1050 0.0000 0.0000 0.0000 5.1050 0.0000 0.0000 0.0000 15.5881" Properties=species:S:1:pos:R:3 pbc="T T T"
Pr 2.5525 2.5525 5.1679
Pr 0.0000 2.5525 2.5393
Tl 0.0000 0.0000 0.0000
Pr 2.5525 2.5525 10.4203
Pr 2.5525 2.5525 0.0000
Pr 2.5525 0.0000 2.5393
Pr 2.5525 0.0000 13.0489
Pr 0.0000 2.5525 13.0489
Pr 0.0000 2.5525 7.7941
Er 0.0000 0.0000 5.1789
Er 0.0000 0.0000 10.4092
Pr 2.5525 0.0000 7.7941
```

**DFT formation energy**: -0.052 eV/atom
**DOS at the Fermi energy**: 14.67 states/eV/cell

=====

Record 5
Pr9ErTl2 | PBE | relaxed

Structure (extended XYZ):
```
12
Lattice="5.0475 0.0000 0.0000 0.0000 5.0475 0.0000 0.0000 0.0000 15.4929" Properties=species:S:1:pos:R:3 pbc="T T T"
Pr 2.5238 2.5238 0.0000
Pr 2.5238 2.5238 5.2088
Pr 2.5238 0.0000 7.7465
Pr 2.5238 0.0000 2.6598
Pr 0.0000 2.5238 7.7465
Pr 0.0000 2.5238 12.8331
Pr 0.0000 2.5238 2.6598
Tl 0.0000 0.0000 5.2487
Er 0.0000 0.0000 0.0000
Tl 0.0000 0.0000 10.2442
Pr 2.5238 0.0000 12.8331
Pr 2.5238 2.5238 10.2841
```

**DFT formation energy**: -0.129 eV/atom
**DOS at the Fermi energy**: 15.61 states/eV/cell

=====

Record 6
PrEr2Tl | PBE | relaxed

Structure (extended XYZ):
```
4
Lattice="5.2014 0.0000 0.0000 2.6007 4.5046 0.0000 2.6007 1.5015 5.5690" Properties=species:S:1:pos:R:3 pbc="T T T"
Er 2.6007 1.5015 1.0634
Tl 7.8021 4.5046 4.9085
Pr 5.2014 3.0030 2.9981
Er 2.6007 1.5015 4.9524
```

**DFT formation energy**: 0.041 eV/atom
**DOS at the Fermi energy**: 5.10 states/eV/cell
**Relative energy among the computed polymorphs**: 215.2 meV/atom

=====

Record 7
Pr2Er2Tl | PBE | relaxed

Structure (extended XYZ):
```
10
Lattice="5.4971 0.0000 0.0000 -2.7486 4.7607 0.0000 0.0000 0.0000 12.2310" Properties=species:S:1:pos:R:3 pbc="T T T"
Pr 2.7486 1.5869 1.0613
Pr 0.0000 3.1738 7.1768
Er 0.0000 0.0000 0.0000
Pr 2.7486 1.5869 5.0542
Er 2.7486 1.5869 9.1733
Tl 0.0000 0.0000 3.0578
Er 0.0000 0.0000 6.1155
Pr 0.0000 3.1738 11.1697
Er 0.0000 3.1738 3.0578
Tl 0.0000 0.0000 9.1733
```

**DFT formation energy**: 0.000 eV/atom
**DOS at the Fermi energy**: 15.10 states/eV/cell
**Relative energy among the computed polymorphs**: 76.1 meV/atom

=====

Record 8
Pr12ErTl7 | PBE | relaxed

Structure (extended XYZ):
```
20
Lattice="-8.1545 2.3941 -1.6446 -3.0318 -6.6706 4.6091 -0.1649 4.8514 7.1672" Properties=species:S:1:pos:R:3 pbc="T T T"
Tl -9.9893 -1.4323 2.1040
Tl -5.6756 0.2875 5.0658
Tl -5.7327 5.6124 6.4732
Tl -1.3619 2.0073 8.0277
Pr -7.6504 -2.5297 4.1964
Tl -5.6186 -5.0374 3.6585
Er 0.0000 0.0000 0.0000
Tl -3.9443 -3.1838 8.9761
Pr -7.1637 3.4401 4.4029
Tl -7.4070 3.7588 1.1555
Pr -9.3352 0.4814 5.6602
Pr -3.9117 1.9322 2.2433
Pr -7.4395 -1.3572 7.8884
Pr -7.3777 0.5337 1.9618
Pr -7.2550 2.0931 7.8994
Pr -3.7009 3.1047 5.9353
Pr -4.1876 -2.8651 5.7288
Pr -2.0161 0.0936 4.4715
Pr -4.0963 -1.5181 2.2323
Pr -3.9736 0.0413 8.1699
```

**DFT formation energy**: -0.165 eV/atom
**DOS at the Fermi energy**: 23.20 states/eV/cell

=====

Record 9
Pr5ErTl8 | PBE | relaxed

Structure (extended XYZ):
```
14
Lattice="8.2451 0.0583 -0.1003 -2.7349 7.7785 0.1003 -2.7753 -3.9043 6.7119" Properties=species:S:1:pos:R:3 pbc="T T T"
Er -1.3876 0.9757 5.0590
Tl 1.6201 3.8369 1.3542
Tl 4.8043 0.5428 2.5655
Tl 0.0978 3.6629 5.9046
Pr 4.2235 5.9033 1.6498
Tl -1.0567 5.5795 0.2649
Pr 2.7349 -1.9230 3.3058
Pr 2.6855 0.9500 0.0409
Pr 6.8610 2.4144 0.7053
Pr 2.7203 2.5600 4.2156
Tl -2.4478 3.6559 3.6890
Tl 5.7903 -1.9473 4.6188
Tl 0.6385 0.5702 2.6356
Tl 1.4932 -0.1704 5.8152
```

**DFT formation energy**: -0.296 eV/atom
**DOS at the Fermi energy**: 12.34 states/eV/cell

=====

Record 10
Pr2Er4Tl | PBE | relaxed

Structure (extended XYZ):
```
14
Lattice="-2.4782 3.0523 -4.3765 0.5547 -5.2946 -4.0067 -8.7409 -5.1730 5.6258" Properties=species:S:1:pos:R:3 pbc="T T T"
Pr -4.2790 -2.7254 0.2391
Pr -6.3854 -4.6900 -2.9965
Er -9.6203 -5.4584 -2.4290
Er -3.7957 -2.1741 -3.0995
Er -1.0440 -1.9570 -0.3285
Pr -1.2195 -2.3503 -5.3731
Er -3.7081 -5.7739 -1.1935
Er -6.9562 -1.6415 -1.5640
Er -6.8686 -5.2413 0.3421
Tl -1.3463 -4.3855 -2.7012
Tl -9.3180 -3.0299 -0.0562
Er -6.6006 -7.7997 -1.5939
Pr -9.4449 -5.0651 2.6156
Er -4.0637 0.3843 -1.1635
```

**DFT formation energy**: 0.001 eV/atom
**DOS at the Fermi energy**: 16.40 states/eV/cell

=====

Record 11
Pr3Er2Tl4 | PBE | relaxed

Structure (extended XYZ):
```
9
Lattice="-0.7889 3.7545 3.8130 0.7591 -1.2379 5.2124 10.1006 2.9081 -0.7732" Properties=species:S:1:pos:R:3 pbc="T T T"
Er 2.2084 2.3180 5.8478
Tl 9.0557 4.2915 5.3215
Tl 2.6569 4.7456 3.5504
Er 7.8624 3.1068 2.4044
Tl 1.0152 1.1333 2.9308
Pr 0.0000 0.0000 0.0000
Pr 5.8434 3.3667 5.5673
Tl 7.4139 0.6792 4.7019
Pr 4.2275 2.0581 2.6850
```

**DFT formation energy**: -0.293 eV/atom
**DOS at the Fermi energy**: 8.55 states/eV/cell
**Relative energy among the computed polymorphs**: 0.0 meV/atom

=====

> Which of these has the highest DFT formation energy?

Pr7Er12Tl